# SrPrAs2Pd5 GGA-PBE optimized geometry
# Formation enthalpy at 0 K: -0.698 eV per atom
# Symmetry: P4/mmm
data_SrPrAs2Pd5
_chemical_formula_sum 'Sr1 Pr1 As2 Pd5'
_space_group_name_H-M_alt 'P 1'
_space_group_IT_number 1
_space_group_name_Hall 'P 1'
_cell_length_a 4.399
_cell_length_b 4.399
_cell_length_c 9.064
_cell_angle_alpha 90.00
_cell_angle_beta 90.00
_cell_angle_gamma 90.00
loop_
_atom_site_label
_atom_site_fract_x
_atom_site_fract_y
_atom_site_fract_z
Pr1 0.000 0.000 0.000
Pd1 0.500 0.500 0.500
Pd2 0.500 0.000 0.733
Pd3 0.500 0.000 0.267
Pd4 0.000 0.500 0.733
Pd5 0.000 0.500 0.267
As1 0.500 0.500 0.140
As2 0.500 0.500 0.860
Sr1 0.000 0.000 0.500